This record from Alexandria describes crystalline SrSb2Ir at its relaxed geometry. The functional is PBE.

Cell lengths 9.275, 9.275, 9.275 Å; angles 24.20, 24.20, 24.20 degrees
Element x y z (fractional)
Ir  0.738  0.738  0.738
Sb  0.025  0.025  0.025
Sb  0.251  0.251  0.251
Sr  0.486  0.486  0.486

Values from the calculation:
Formation energy without anion corrections   -0.60 kcal/mol of atoms
Total energy   -4.723 eV/atom